The following is a GGA-PBE calculation of an optimized crystal structure of Cs4PmTh3S8, from the Alexandria database.

The structure in CIF format:
```
data_Cs4PmTh3S8
_chemical_formula_sum 'Cs12 Pm3 Th9 S24'
_space_group_name_H-M_alt 'R -3 m'
_space_group_IT_number 166
_space_group_name_Hall '-R 3 2"'
_cell_length_a 8.3519
_cell_length_b 8.3519
_cell_length_c 24.4685
_cell_angle_alpha 90.00
_cell_angle_beta 90.00
_cell_angle_gamma 120.00
loop_
_atom_site_label
_atom_site_type_symbol
_atom_site_fract_x
_atom_site_fract_y
_atom_site_fract_z
Cs1 Cs 0.0000 0.0000 0.0000
Cs2 Cs 0.0000 0.5000 0.0000
Pm1 Pm 0.0000 0.0000 0.5000
Th1 Th 0.0000 0.5000 0.5000
S1 S 0.0000 0.0000 0.2300
S2 S 0.0038 0.5019 0.7703
```

Uncorrected formation energy ... -2608 kJ/mol of formula units
Spin magnetization ... 0.00 μB/f.u.
V ... 1478.15 Å³/cell

---

The following is a GGA-PBE calculation of an optimized crystal structure of Cs3Pm2ThS6, from the Alexandria database.

The structure in CIF format:
```
data_Cs3Pm2ThS6
_chemical_formula_sum 'Cs6 Pm4 Th2 S12'
_space_group_name_H-M_alt 'C 1 2/m 1'
_space_group_IT_number 12
_space_group_name_Hall '-C 2y'
_cell_length_a 7.276
_cell_length_b 12.602
_cell_length_c 8.468
_cell_angle_alpha 90.00
_cell_angle_beta 106.64
_cell_angle_gamma 90.00
loop_
_atom_site_label
_atom_site_type_symbol
_atom_site_fract_x
_atom_site_fract_y
_atom_site_fract_z
Cs1 Cs 0.000 0.000 0.000
Cs2 Cs 0.000 0.332 0.000
Pm1 Pm 0.000 0.167 0.500
Th1 Th 0.000 0.500 0.500
S1 S 0.226 0.336 0.687
S2 S 0.234 0.000 0.687
```

Uncorrected formation energy ... -2051 kJ/mol of formula units
Spin magnetization ... 0.00 μB/f.u.
V ... 743.92 Å³/cell

---

The following is a GGA-PBE calculation of an optimized crystal structure of Cs2PmThS4, from the Alexandria database.

The structure in CIF format:
```
data_Cs2PmThS4
_chemical_formula_sum 'Cs2 Pm1 Th1 S4'
_space_group_name_H-M_alt 'P 1 2/m 1'
_space_group_IT_number 10
_space_group_name_Hall '-P 2y'
_cell_length_a 7.251
_cell_length_b 4.202
_cell_length_c 8.473
_cell_angle_alpha 90.00
_cell_angle_beta 106.59
_cell_angle_gamma 90.00
loop_
_atom_site_label
_atom_site_type_symbol
_atom_site_fract_x
_atom_site_fract_y
_atom_site_fract_z
Cs1 Cs 0.000 0.000 0.000
Cs2 Cs 0.500 0.500 0.000
Pm1 Pm 0.000 0.500 0.500
Th1 Th 0.500 0.000 0.500
S1 S 0.234 0.000 0.687
S2 S 0.275 0.500 0.312
```

Uncorrected formation energy ... -1341 kJ/mol of formula units
Spin magnetization ... 0.00 μB/f.u.
V ... 247.39 Å³/cell

---

The following is a GGA-PBE calculation of an optimized crystal structure of CsPmTiS4, from the Alexandria database.

The structure in CIF format:
```
data_CsPmTiS4
_chemical_formula_sum 'Cs2 Pm2 Ti2 S8'
_space_group_name_H-M_alt 'P 1 21/m 1'
_space_group_IT_number 11
_space_group_name_Hall '-P 2yb'
_cell_length_a 6.765
_cell_length_b 6.866
_cell_length_c 9.582
_cell_angle_alpha 90.00
_cell_angle_beta 108.23
_cell_angle_gamma 90.00
loop_
_atom_site_label
_atom_site_type_symbol
_atom_site_fract_x
_atom_site_fract_y
_atom_site_fract_z
Cs1 Cs 0.227 0.250 0.438
Pm1 Pm 0.284 0.250 0.955
Ti1 Ti 0.269 0.750 0.162
S1 S 0.062 0.750 0.931
S2 S 0.066 0.750 0.308
S3 S 0.500 0.002 0.194
```

Uncorrected formation energy ... -1100 kJ/mol of formula units
Spin magnetization ... 0.00 μB/f.u.
V ... 422.76 Å³/cell

---

The following is a GGA-PBE calculation of an optimized crystal structure of Cs2Pm2TiS6, from the Alexandria database.

The structure in CIF format:
```
data_Cs2Pm2TiS6
_chemical_formula_sum 'Cs4 Pm4 Ti2 S12'
_space_group_name_H-M_alt 'C 1 2/m 1'
_space_group_IT_number 12
_space_group_name_Hall '-C 2y'
_cell_length_a 6.927
_cell_length_b 11.842
_cell_length_c 8.558
_cell_angle_alpha 90.00
_cell_angle_beta 106.33
_cell_angle_gamma 90.00
loop_
_atom_site_label
_atom_site_type_symbol
_atom_site_fract_x
_atom_site_fract_y
_atom_site_fract_z
Cs1 Cs 0.000 0.171 0.000
Pm1 Pm 0.000 0.333 0.500
Ti1 Ti 0.000 0.000 0.500
S1 S 0.211 0.149 0.676
S2 S 0.235 0.000 0.326
```

Uncorrected formation energy ... -1746 kJ/mol of formula units
Spin magnetization ... 0.00 μB/f.u.
V ... 673.65 Å³/cell

---

The following is a GGA-PBE calculation of an optimized crystal structure of Cs2PmTiS4, from the Alexandria database.

The structure in CIF format:
```
data_Cs2PmTiS4
_chemical_formula_sum 'Cs16 Pm8 Ti8 S32'
_space_group_name_H-M_alt 'F d d d'
_space_group_IT_number 70
_cell_length_a 6.497
_cell_length_b 14.742
_cell_length_c 26.105
_cell_angle_alpha 90.00
_cell_angle_beta 90.00
_cell_angle_gamma 90.00
loop_
_space_group_symop_operation_xyz
'x,y,z'
'-x,-y,-z'
'-x+1/4,-y+1/4,z'
'x+1/4,y+1/4,-z'
'x,-y+1/4,-z+1/4'
'-x,y+1/4,z+1/4'
'-x+1/4,y,-z+1/4'
'x+1/4,-y,z+1/4'
'x,y+1/2,z+1/2'
'-x,-y+1/2,-z+1/2'
'-x+1/4,-y+3/4,z+1/2'
'x+1/4,y+3/4,-z+1/2'
'x,-y+3/4,-z+3/4'
'-x,y+3/4,z+3/4'
'-x+1/4,y+1/2,-z+3/4'
'x+1/4,-y+1/2,z+3/4'
'x+1/2,y,z+1/2'
'-x+1/2,-y,-z+1/2'
'-x+3/4,-y+1/4,z+1/2'
'x+3/4,y+1/4,-z+1/2'
'x+1/2,-y+1/4,-z+3/4'
'-x+1/2,y+1/4,z+3/4'
'-x+3/4,y,-z+3/4'
'x+3/4,-y,z+3/4'
'x+1/2,y+1/2,z'
'-x+1/2,-y+1/2,-z'
'-x+3/4,-y+3/4,z'
'x+3/4,y+3/4,-z'
'x+1/2,-y+3/4,-z+1/4'
'-x+1/2,y+3/4,z+1/4'
'-x+3/4,y+1/2,-z+1/4'
'x+3/4,-y+1/2,z+1/4'
loop_
_atom_site_label
_atom_site_type_symbol
_atom_site_fract_x
_atom_site_fract_y
_atom_site_fract_z
Cs1 Cs 0.125 0.125 0.304
Pm1 Pm 0.125 0.125 0.125
Ti1 Ti 0.125 0.125 0.625
S1 S 0.086 0.280 0.826
```

Uncorrected formation energy ... -1055 kJ/mol of formula units
Spin magnetization ... 1.03 μB/f.u.
V ... 2500.40 Å³/cell

---

The following is a GGA-PBE calculation of an optimized crystal structure of Cs4Pm3TiS8, from the Alexandria database.

The structure in CIF format:
```
data_Cs4Pm3TiS8
_chemical_formula_sum 'Cs12 Pm9 Ti3 S24'
_space_group_name_H-M_alt 'R -3 m'
_space_group_IT_number 166
_space_group_name_Hall '-R 3 2"'
_cell_length_a 8.2161
_cell_length_b 8.2161
_cell_length_c 24.1664
_cell_angle_alpha 90.00
_cell_angle_beta 90.00
_cell_angle_gamma 120.00
loop_
_atom_site_label
_atom_site_type_symbol
_atom_site_fract_x
_atom_site_fract_y
_atom_site_fract_z
Cs1 Cs 0.0000 0.0000 0.0000
Cs2 Cs 0.0000 0.5000 0.0000
Pm1 Pm 0.0000 0.5000 0.5000
Ti1 Ti 0.0000 0.0000 0.5000
S1 S 0.0000 0.0000 0.2298
S2 S 0.0244 0.5122 0.2260
```

Uncorrected formation energy ... -2515 kJ/mol of formula units
Spin magnetization ... 1.01 μB/f.u.
V ... 1412.83 Å³/cell

---

The following is a GGA-PBE calculation of an optimized crystal structure of Cs3Pm3TiS8, from the Alexandria database.

The structure in CIF format:
```
data_Cs3Pm3TiS8
_chemical_formula_sum 'Cs9 Pm9 Ti3 S24'
_space_group_name_H-M_alt 'R -3 m'
_space_group_IT_number 166
_space_group_name_Hall '-R 3 2"'
_cell_length_a 8.0988
_cell_length_b 8.0988
_cell_length_c 24.6846
_cell_angle_alpha 90.00
_cell_angle_beta 90.00
_cell_angle_gamma 120.00
loop_
_atom_site_label
_atom_site_type_symbol
_atom_site_fract_x
_atom_site_fract_y
_atom_site_fract_z
Cs1 Cs 0.0000 0.5000 0.0000
Pm1 Pm 0.0000 0.5000 0.5000
Ti1 Ti 0.0000 0.0000 0.5000
S1 S 0.0000 0.0000 0.2291
S2 S 0.0344 0.5172 0.2238
```

Uncorrected formation energy ... -2435 kJ/mol of formula units
Spin magnetization ... 0.00 μB/f.u.
V ... 1402.27 Å³/cell

---

The following is a GGA-PBE calculation of an optimized crystal structure of Cs3Pm2TlS6, from the Alexandria database.

The structure in CIF format:
```
data_Cs3Pm2TlS6
_chemical_formula_sum 'Cs6 Pm4 Tl2 S12'
_space_group_name_H-M_alt 'C 1 2/m 1'
_space_group_IT_number 12
_space_group_name_Hall '-C 2y'
_cell_length_a 7.270
_cell_length_b 12.575
_cell_length_c 8.454
_cell_angle_alpha 90.00
_cell_angle_beta 106.70
_cell_angle_gamma 90.00
loop_
_atom_site_label
_atom_site_type_symbol
_atom_site_fract_x
_atom_site_fract_y
_atom_site_fract_z
Cs1 Cs 0.000 0.000 0.000
Cs2 Cs 0.000 0.333 0.000
Pm1 Pm 0.000 0.166 0.500
Tl1 Tl 0.000 0.500 0.500
S1 S 0.227 0.335 0.686
S2 S 0.230 0.000 0.687
```

Uncorrected formation energy ... -1565 kJ/mol of formula units
Spin magnetization ... 0.00 μB/f.u.
V ... 740.29 Å³/cell

---

The following is a GGA-PBE calculation of an optimized crystal structure of Cs4Pm3TmS8, from the Alexandria database.

The structure in CIF format:
```
data_Cs4Pm3TmS8
_chemical_formula_sum 'Cs12 Pm9 Tm3 S24'
_space_group_name_H-M_alt 'R -3 m'
_space_group_IT_number 166
_space_group_name_Hall '-R 3 2"'
_cell_length_a 8.3575
_cell_length_b 8.3575
_cell_length_c 24.2590
_cell_angle_alpha 90.00
_cell_angle_beta 90.00
_cell_angle_gamma 120.00
loop_
_atom_site_label
_atom_site_type_symbol
_atom_site_fract_x
_atom_site_fract_y
_atom_site_fract_z
Cs1 Cs 0.0000 0.0000 0.0000
Cs2 Cs 0.0000 0.5000 0.0000
Pm1 Pm 0.0000 0.5000 0.5000
Tm1 Tm 0.0000 0.0000 0.5000
S1 S 0.0000 0.0000 0.2288
S2 S 0.0088 0.5044 0.2277
```

Uncorrected formation energy ... -2804 kJ/mol of formula units
Spin magnetization ... 0.00 μB/f.u.
V ... 1467.41 Å³/cell

---

The following is a GGA-PBE calculation of an optimized crystal structure of Cs3Pm2TmS6, from the Alexandria database.

The structure in CIF format:
```
data_Cs3Pm2TmS6
_chemical_formula_sum 'Cs6 Pm4 Tm2 S12'
_space_group_name_H-M_alt 'C 1 2/m 1'
_space_group_IT_number 12
_space_group_name_Hall '-C 2y'
_cell_length_a 7.214
_cell_length_b 12.494
_cell_length_c 8.430
_cell_angle_alpha 90.00
_cell_angle_beta 106.58
_cell_angle_gamma 90.00
loop_
_atom_site_label
_atom_site_type_symbol
_atom_site_fract_x
_atom_site_fract_y
_atom_site_fract_z
Cs1 Cs 0.000 0.000 0.000
Cs2 Cs 0.000 0.332 0.000
Pm1 Pm 0.000 0.167 0.500
Tm1 Tm 0.000 0.500 0.500
S1 S 0.223 0.338 0.683
S2 S 0.238 0.000 0.684
```

Uncorrected formation energy ... -2105 kJ/mol of formula units
Spin magnetization ... 0.00 μB/f.u.
V ... 728.25 Å³/cell

---

The following is a GGA-PBE calculation of an optimized crystal structure of Cs3PmU2S6, from the Alexandria database.

The structure in CIF format:
```
data_Cs3PmU2S6
_chemical_formula_sum 'Cs6 Pm2 U4 S12'
_space_group_name_H-M_alt 'C 1 2/m 1'
_space_group_IT_number 12
_space_group_name_Hall '-C 2y'
_cell_length_a 7.168
_cell_length_b 12.416
_cell_length_c 8.455
_cell_angle_alpha 90.00
_cell_angle_beta 106.42
_cell_angle_gamma 90.00
loop_
_atom_site_label
_atom_site_type_symbol
_atom_site_fract_x
_atom_site_fract_y
_atom_site_fract_z
Cs1 Cs 0.000 0.000 0.000
Cs2 Cs 0.000 0.335 0.000
Pm1 Pm 0.000 0.500 0.500
U1 U 0.000 0.167 0.500
S1 S 0.219 0.000 0.683
S2 S 0.232 0.329 0.684
```

Uncorrected formation energy ... -1725 kJ/mol of formula units
Spin magnetization ... 5.97 μB/f.u.
V ... 721.82 Å³/cell

---

Q: Which of these has the highest uncorrected formation energy?
A: Cs2PmTiS4

---

What did the third record say?
The following is a GGA-PBE calculation of an optimized crystal structure of Cs2PmThS4, from the Alexandria database.

The structure in CIF format:
```
data_Cs2PmThS4
_chemical_formula_sum 'Cs2 Pm1 Th1 S4'
_space_group_name_H-M_alt 'P 1 2/m 1'
_space_group_IT_number 10
_space_group_name_Hall '-P 2y'
_cell_length_a 7.251
_cell_length_b 4.202
_cell_length_c 8.473
_cell_angle_alpha 90.00
_cell_angle_beta 106.59
_cell_angle_gamma 90.00
loop_
_atom_site_label
_atom_site_type_symbol
_atom_site_fract_x
_atom_site_fract_y
_atom_site_fract_z
Cs1 Cs 0.000 0.000 0.000
Cs2 Cs 0.500 0.500 0.000
Pm1 Pm 0.000 0.500 0.500
Th1 Th 0.500 0.000 0.500
S1 S 0.234 0.000 0.687
S2 S 0.275 0.500 0.312
```

Uncorrected formation energy ... -1341 kJ/mol of formula units
Spin magnetization ... 0.00 μB/f.u.
V ... 247.39 Å³/cell